No. 1
Computed, not measured: an optimized crystal structure of Sc2TeRh at the PBE level of DFT.

Values from the calculation:
For the raw formation energy, the calculation gives -334 kJ/mol of formula units. As for the raw total energy: -26.6 eV for the cell shown. As for the size of the total moment: 0.00 μB/f.u.

Lattice parameters (Å, degrees): 7.139 7.139 7.139 31.90 31.90 31.90
Positions (direct):
Sc1 0.236 0.236 0.236
Sc2 0.764 0.764 0.764
Te1 0.000 0.000 0.000
Rh1 0.500 0.500 0.500



No. 2
Computed, not measured: an optimized crystal structure of ScTeRh2 at the PBE level of DFT.

Values from the calculation:
For the raw formation energy, the calculation gives -113 kJ/mol of formula units. As for the raw total energy: -25.3 eV for the cell shown. As for the size of the total moment: 0.00 μB/f.u.

Lattice parameters (Å, degrees): 6.611 6.611 6.611 34.31 34.31 34.31
Positions (direct):
Sc1 0.000 0.000 0.000
Te1 0.786 0.786 0.786
Rh1 0.260 0.260 0.260
Rh2 0.524 0.524 0.524



No. 3
Computed, not measured: an optimized crystal structure of Sc2TeRh at the PBE level of DFT.

Values from the calculation:
For the raw formation energy, the calculation gives -123 kJ/mol of formula units. As for the raw total energy: -24.4 eV for the cell shown. As for the size of the total moment: 1.97 μB/f.u.

Lattice parameters (Å, degrees): 4.804 4.804 4.804 60.00 60.00 60.00
Positions (direct):
Sc1 0.000 0.000 0.000
Sc2 0.250 0.250 0.250
Te1 0.750 0.750 0.750
Rh1 0.500 0.500 0.500



No. 4
Computed, not measured: an optimized crystal structure of Sc2TeRh at the PBE level of DFT.

Values from the calculation:
For the raw formation energy, the calculation gives -272 kJ/mol of formula units. As for the raw total energy: -26.0 eV for the cell shown. As for the size of the total moment: 0.00 μB/f.u.

Lattice parameters (Å, degrees): 5.115 5.115 5.115 129.65 129.14 74.38
Positions (direct):
Sc1 0.249 0.249 0.000
Sc2 0.751 0.751 0.000
Te1 0.500 0.000 0.500
Rh1 0.000 0.500 0.500



No. 5
Computed, not measured: an optimized crystal structure of Sc2TeRh at the PBE level of DFT.

Values from the calculation:
For the raw formation energy, the calculation gives -314 kJ/mol of formula units. As for the raw total energy: -26.4 eV for the cell shown. As for the size of the total moment: 0.30 μB/f.u.

Lattice parameters (Å, degrees): 3.488 3.488 6.681 90.00 90.00 90.00
Positions (direct):
Sc1 0.000 0.000 0.227
Sc2 0.000 0.000 0.773
Te1 0.500 0.500 0.500
Rh1 0.500 0.500 0.000



No. 6
Computed, not measured: an optimized crystal structure of ScTeRh2 at the PBE level of DFT.

Values from the calculation:
For the raw formation energy, the calculation gives -148 kJ/mol of formula units. As for the raw total energy: -51.4 eV for the cell shown. As for the size of the total moment: 0.00 μB/f.u.

Lattice parameters (Å, degrees): 9.193 9.193 9.193 153.39 153.39 37.99
Positions (direct):
Sc1 0.000 0.000 0.000
Sc2 0.750 0.250 0.500
Te1 0.250 0.750 0.500
Te2 0.500 0.500 0.000
Rh1 0.132 0.625 0.007
Rh2 0.375 0.382 0.507
Rh3 0.618 0.125 0.993
Rh4 0.875 0.868 0.493



No. 7
Computed, not measured: an optimized crystal structure of Sc2TeRh at the PBE level of DFT.

Values from the calculation:
For the raw formation energy, the calculation gives -188 kJ/mol of formula units. As for the raw total energy: -25.1 eV for the cell shown. As for the size of the total moment: 0.00 μB/f.u.

Lattice parameters (Å, degrees): 8.763 8.763 8.763 25.09 25.09 25.09
Positions (direct):
Sc1 0.112 0.112 0.112
Sc2 0.888 0.888 0.888
Te1 0.000 0.000 0.000
Rh1 0.500 0.500 0.500



No. 8
Computed, not measured: an optimized crystal structure of Th2ScRh5 at the PBE level of DFT.

Values from the calculation:
As for the raw total energy: -129.8 eV for the cell shown. As for the size of the total moment: 0.00 μB/f.u. The formation energy comes out at -0.87 eV/atom.

Lattice parameters (Å, degrees): 5.880 11.586 4.393 90.00 90.00 90.00
Positions (direct):
Th1 0.160 0.145 0.000
Th2 0.340 0.645 0.000
Th3 0.660 0.355 0.000
Th4 0.840 0.855 0.000
Sc1 0.000 0.500 0.500
Sc2 0.500 0.000 0.500
Rh1 0.000 0.000 0.500
Rh2 0.087 0.746 0.500
Rh3 0.176 0.395 0.000
Rh4 0.324 0.895 0.000
Rh5 0.413 0.246 0.500
Rh6 0.500 0.500 0.500
Rh7 0.587 0.754 0.500
Rh8 0.676 0.105 0.000
Rh9 0.824 0.605 0.000
Rh10 0.913 0.254 0.500



No. 9
Computed, not measured: an optimized crystal structure of ThScRh2 at the PBE level of DFT.

Values from the calculation:
As for the raw total energy: -31.7 eV for the cell shown. As for the size of the total moment: 0.00 μB/f.u. The formation energy comes out at -0.82 eV/atom.

Lattice parameters (Å, degrees): 5.436 5.436 5.436 48.50 48.50 48.50
Positions (direct):
Th1 0.000 0.000 0.000
Sc1 0.500 0.500 0.500
Rh1 0.226 0.226 0.226
Rh2 0.774 0.774 0.774



No. 10
Computed, not measured: an optimized crystal structure of ThSc2Rh at the PBE level of DFT.

Values from the calculation:
As for the raw total energy: -58.9 eV for the cell shown. As for the size of the total moment: 0.00 μB/f.u. The formation energy comes out at -0.50 eV/atom. The value obtained for the energy relative to the lowest polymorph listed for this composition is 0.006 eV per atom.

Lattice parameters (Å, degrees): 6.057 6.057 8.961 90.00 90.00 144.86
Positions (direct):
Th1 0.069 0.931 0.750
Th2 0.931 0.069 0.250
Sc1 0.360 0.640 0.565
Sc2 0.360 0.640 0.935
Sc3 0.640 0.360 0.065
Sc4 0.640 0.360 0.435
Rh1 0.242 0.758 0.250
Rh2 0.758 0.242 0.750



No. 11
Computed, not measured: an optimized crystal structure of ThScRh6 at the PBE level of DFT.

Values from the calculation:
As for the raw total energy: -122.6 eV for the cell shown. As for the size of the total moment: 0.00 μB/f.u. The formation energy comes out at -0.43 eV/atom.

Lattice parameters (Å, degrees): 6.734 6.734 6.839 92.28 92.28 118.52
Positions (direct):
Th1 0.000 0.500 0.000
Th2 0.500 0.000 0.000
Sc1 0.000 0.500 0.500
Sc2 0.500 0.000 0.500
Rh1 0.083 0.856 0.295
Rh2 0.144 0.917 0.705
Rh3 0.201 0.201 0.043
Rh4 0.296 0.296 0.445
Rh5 0.342 0.568 0.777
Rh6 0.432 0.658 0.223
Rh7 0.568 0.342 0.777
Rh8 0.658 0.432 0.223
Rh9 0.704 0.704 0.555
Rh10 0.799 0.799 0.957
Rh11 0.856 0.083 0.295
Rh12 0.917 0.144 0.705



No. 12
Computed, not measured: an optimized crystal structure of ThSc2Rh9 at the PBE level of DFT.

Values from the calculation:
As for the raw total energy: -93.9 eV for the cell shown. As for the size of the total moment: 0.00 μB/f.u. The formation energy comes out at -0.64 eV/atom.

Lattice parameters (Å, degrees): 4.014 4.014 11.918 90.00 90.00 90.00
Positions (direct):
Th1 0.000 0.000 0.000
Sc1 0.000 0.000 0.339
Sc2 0.000 0.000 0.661
Rh1 0.000 0.500 0.179
Rh2 0.000 0.500 0.500
Rh3 0.000 0.500 0.821
Rh4 0.500 0.000 0.179
Rh5 0.500 0.000 0.500
Rh6 0.500 0.000 0.821
Rh7 0.500 0.500 0.000
Rh8 0.500 0.500 0.339
Rh9 0.500 0.500 0.661



Q: Among the records above, which one has the highest raw total energy?
A: number 3



Q: Look up the raw total energy of the ninth one.
A: -31.7 eV for the cell shown



Q: Which value of raw total energy does entry 8 give?
A: -129.8 eV for the cell shown



Q: What is the size of the total moment in the eighth record?
A: 0.00 μB/f.u.